1.
15
Lattice="5.718 0.000 0.000 -2.859 4.952 0.000 0.000 0.000 9.078" Properties=species:S:1:pos:R:3 comment="Hg3H2Pd9Pb (PBE-GGA, optimized geometry)" energy_ev_per_cell=-59.7 pbc="T T T"
Hg 0.000 0.000 0.000
Hg 0.000 3.301 6.508
Hg 2.859 1.651 2.570
H 0.000 3.301 1.075
H 2.859 1.651 8.003
Pd -1.429 2.476 0.000
Pd 0.000 1.668 2.366
Pd -1.415 4.118 2.366
Pd 1.444 0.834 6.712
Pd 2.859 0.000 0.000
Pd 1.429 2.476 0.000
Pd 1.415 4.118 2.366
Pd 4.273 0.834 6.712
Pd 2.859 3.284 6.712
Pb 0.000 0.000 4.539

=====

2.
4
Lattice="3.517 0.000 0.000 0.000 3.537 0.000 0.000 0.000 6.130" Properties=species:S:1:pos:R:3 comment="LaRh2Au (PBE-GGA, optimized geometry)" e_form_kj_per_mol_atoms=-25.8 pbc="T T T"
La 0.000 0.000 0.000
Rh 1.758 1.769 1.637
Rh 1.758 1.769 4.493
Au 0.000 0.000 3.065

=====

3.
10
Lattice="5.767 0.000 0.000 0.000 5.767 0.000 0.000 0.000 5.712" Properties=species:S:1:pos:R:3 comment="Ac2TaPbO6 (PBE-GGA, optimized geometry)" e_form_raw_mev_per_atom=-2571 pbc="T T T"
Ac 0.000 2.883 0.000
Ac 2.883 0.000 0.000
Ta 0.000 0.000 3.560
Pb 2.883 2.883 2.867
O 0.000 0.000 1.666
O 1.281 1.281 4.327
O 1.281 4.486 4.327
O 2.883 2.883 0.593
O 4.486 1.281 4.327
O 4.486 4.486 4.327

=====

4.
8
Lattice="-3.315 3.315 7.359 3.315 -3.315 7.359 3.315 3.315 -7.359" Properties=species:S:1:pos:R:3 comment="Tl2GeBr (PBE-GGA, optimized geometry)" e_above_lowest_polymorph_mev_per_atom=0 e_form_raw_mev_per_atom=-21 pbc="T T T"
Tl 4.973 1.325 -1.840
Tl 1.325 1.658 1.840
Tl -1.658 1.990 5.519
Tl 1.990 1.658 9.199
Ge 0.000 0.000 0.000
Ge 0.000 3.315 3.680
Br 3.315 0.000 3.680
Br 0.000 0.000 7.359

=====

5.
4
Lattice="0.000 3.851 3.851 3.851 0.000 3.851 3.851 3.851 0.000" Properties=species:S:1:pos:R:3 comment="CePrErSn (PBE-GGA, optimized geometry)" e_form_kj_per_mol_atoms=-18.2 pbc="T T T"
Ce 0.000 0.000 0.000
Pr 5.776 5.776 5.776
Er 1.925 1.925 1.925
Sn 3.851 3.851 3.851

=====

6.
5
Lattice="4.597 0.000 0.000 0.000 4.597 0.000 0.000 0.000 4.588" Properties=species:S:1:pos:R:3 comment="KScGeMo2 (PBE-GGA, optimized geometry)" e_form_kj_per_mol_atoms=231.7 pbc="T T T"
K 0.000 0.000 0.000
Sc 0.000 0.000 2.294
Ge 2.298 2.298 2.294
Mo 0.000 2.298 0.000
Mo 2.298 0.000 0.000

=====

7.
4
Lattice="3.871 0.000 0.000 0.000 3.871 0.000 0.000 0.000 8.478" Properties=species:S:1:pos:R:3 comment="Sr2HgPt (PBE-GGA, optimized geometry)" e_form_kj_per_mol_atoms=-38.0 pbc="T T T"
Sr 0.000 0.000 0.000
Sr 1.936 1.936 3.595
Hg 0.000 0.000 5.376
Pt 1.936 1.936 6.768

=====

8.
4
Lattice="-1.619 2.410 5.416 1.619 -2.410 5.416 1.619 2.410 -5.416" Properties=species:S:1:pos:R:3 comment="Mn2TlPb (PBE-GGA, optimized geometry)" e_form_kj_per_mol_atoms=46.6 pbc="T T T"
Mn 0.000 0.000 0.000
Mn 0.000 2.410 3.207
Tl 1.619 0.000 2.883
Pb 0.000 0.000 5.888

=====

9.
12
Lattice="6.073 0.000 0.000 -3.037 5.259 0.000 0.000 0.000 6.957" Properties=species:S:1:pos:R:3 comment="CaAc3Tc2N6 (PBE-GGA, optimized geometry)" e_form_raw_mev_per_atom=-691 pbc="T T T"
Ca 0.000 0.000 0.000
Ac 0.000 0.000 3.479
Ac 0.000 3.506 1.317
Ac 3.037 1.753 5.640
Tc 0.000 3.506 4.846
Tc 3.037 1.753 2.111
N 0.000 1.783 5.446
N -1.492 4.368 5.446
N 1.544 0.891 1.512
N 1.492 4.368 5.446
N 4.529 0.891 1.512
N 3.037 3.476 1.512

=====

10.
4
Lattice="-2.412 2.412 4.997 2.412 -2.412 4.997 2.412 2.412 -4.997" Properties=species:S:1:pos:R:3 comment="InSb2Pb (PBE-GGA, optimized geometry)" e_above_lowest_polymorph_mev_per_atom=43 e_form_raw_mev_per_atom=92 pbc="T T T"
In 0.000 0.000 0.000
Sb 2.412 0.000 2.499
Sb 0.000 2.412 2.499
Pb 0.000 0.000 4.997

=====

11.
5
Lattice="7.549 0.000 0.000 0.000 7.549 0.000 0.000 0.000 5.598" Properties=species:S:1:pos:R:3 comment="Cs2InAgSb (PBE-GGA, optimized geometry)" e_form_raw_mev_per_atom=42 pbc="T T T"
Cs 0.000 3.775 0.000
Cs 3.775 0.000 0.000
In 0.000 0.000 2.799
Ag 3.775 3.775 2.799
Sb 0.000 0.000 0.000

=====

12.
8
Lattice="-3.169 3.169 4.466 3.169 -3.169 4.466 3.169 3.169 -4.466" Properties=species:S:1:pos:R:3 comment="CsRh2C (PBE-GGA, optimized geometry)" e_form_kj_per_mol_atoms=45.2 pbc="T T T"
Cs 0.000 0.000 0.000
Cs 0.000 3.169 2.233
Rh 1.584 -0.013 3.350
Rh 3.156 1.584 1.117
Rh 1.584 3.181 -1.117
Rh 0.013 1.584 5.583
C 3.169 0.000 2.233
C 0.000 0.000 4.466

=====

13.
8
Lattice="-2.452 2.452 7.734 2.452 -2.452 7.734 2.452 2.452 -7.734" Properties=species:S:1:pos:R:3 comment="LiY2Cd5 (PBE-GGA, optimized geometry)" e_form_kj_per_mol_atoms=-24.9 pbc="T T T"
Li 0.000 0.000 0.000
Y 0.000 0.000 3.961
Y 0.000 0.000 11.507
Cd 2.452 0.000 1.736
Cd 2.452 0.000 5.998
Cd 0.000 0.000 7.734
Cd 0.000 2.452 1.736
Cd 0.000 2.452 5.998

=====

14.
12
Lattice="2.019 -10.817 0.000 2.019 10.817 0.000 0.000 0.000 3.743" Properties=species:S:1:pos:R:3 comment="Ti7Ge3H2 (PBE-GGA, optimized geometry)" energy_ev_per_cell=-82.0 pbc="T T T"
Ti 0.000 0.000 0.000
Ti 2.019 8.633 1.872
Ti 2.019 6.370 0.000
Ti 2.019 2.079 0.000
Ti 2.019 -2.079 0.000
Ti 2.019 -6.370 0.000
Ti 2.019 -8.633 1.872
Ge 2.019 4.107 1.872
Ge 2.019 0.000 1.872
Ge 2.019 -4.107 1.872
H 2.019 8.859 0.000
H 2.019 -8.859 0.000

=====

15.
16
Lattice="7.990 0.000 0.000 -3.995 6.919 0.000 0.000 0.000 15.371" Properties=species:S:1:pos:R:3 comment="Ba6AsPd (PBE-GGA, optimized geometry)" e_form_kj_per_mol_atoms=-42.3 pbc="T T T"
Ba -1.264 2.325 1.932
Ba -2.613 4.662 5.754
Ba 1.264 2.325 5.754
Ba -1.349 6.851 1.932
Ba 2.646 0.068 9.617
Ba 1.382 2.257 13.439
Ba 2.613 4.662 1.932
Ba 1.349 6.851 5.754
Ba 5.344 0.068 13.439
Ba 2.731 4.594 9.617
Ba 6.608 2.257 9.617
Ba 5.259 4.594 13.439
As 0.000 0.000 0.000
As 0.000 0.000 7.685
Pd 0.000 4.613 3.843
Pd 3.995 2.306 11.528

=====

16.
5
Lattice="5.525 0.000 0.000 0.000 5.525 0.000 0.000 0.000 5.525" Properties=species:S:1:pos:R:3 comment="RbLa3Re (PBE-GGA, optimized geometry)" e_form_kj_per_mol_atoms=188.5 e_above_lowest_polymorph_mev_per_atom=1627 pbc="T T T"
Rb 0.000 0.000 0.000
La 0.000 0.000 2.763
La 0.000 2.763 0.000
La 2.763 0.000 0.000
Re 2.763 2.763 2.763

=====

17.
16
Lattice="5.244 0.000 0.000 0.000 5.255 0.000 0.000 0.000 10.496" Properties=species:S:1:pos:R:3 comment="HfTi12Sn3 (PBE-GGA, optimized geometry)" e_form_kj_per_mol_atoms=-18.0 pbc="T T T"
Hf 0.000 0.000 0.000
Ti 0.000 1.312 2.600
Ti 0.000 1.312 7.896
Ti 0.000 3.943 2.600
Ti 0.000 3.943 7.896
Ti 1.293 2.627 0.000
Ti 1.306 2.627 5.248
Ti 2.622 0.000 1.365
Ti 2.622 0.000 4.000
Ti 2.622 0.000 6.496
Ti 2.622 0.000 9.131
Ti 3.938 2.627 5.248
Ti 3.951 2.627 0.000
Sn 0.000 0.000 5.248
Sn 2.622 2.627 2.652
Sn 2.622 2.627 7.844

=====

18.
12
Lattice="2.410 -7.052 0.000 2.410 7.052 0.000 0.000 0.000 10.076" Properties=species:S:1:pos:R:3 comment="Ce3SbSe2 (PBE-GGA, optimized geometry)" e_above_lowest_polymorph_mev_per_atom=0 e_form_raw_mev_per_atom=-1268 pbc="T T T"
Ce 2.410 5.439 7.557
Ce 2.410 1.903 5.489
Ce 2.410 1.903 9.625
Ce 2.410 -1.903 0.451
Ce 2.410 -1.903 4.587
Ce 2.410 -5.439 2.519
Sb 2.410 3.843 2.519
Sb 2.410 -3.843 7.557
Se 0.000 0.000 0.000
Se 0.000 0.000 5.038
Se 2.410 0.146 2.519
Se 2.410 -0.146 7.557

=====

19.
5
Lattice="3.764 0.000 0.000 0.000 3.764 0.000 0.000 0.000 3.945" Properties=species:S:1:pos:R:3 comment="ZnNi2HAu (PBE-GGA, optimized geometry)" e_above_lowest_polymorph_mev_per_atom=23 pbc="T T T"
Zn 0.000 0.000 0.000
Ni 0.000 1.882 1.972
Ni 1.882 0.000 1.972
H 1.882 1.882 1.972
Au 1.882 1.882 0.000

=====

20.
9
Lattice="7.703 -2.132 0.000 7.703 2.132 0.000 -2.676 0.000 7.816" Properties=species:S:1:pos:R:3 comment="Rb2NpAu2Se4 (PBE-GGA, optimized geometry)" e_form_raw_mev_per_atom=-824 pbc="T T T"
Rb 1.870 0.000 0.613
Rb 10.859 0.000 7.203
Np -1.338 0.000 3.908
Au 3.620 0.000 4.014
Au 9.109 0.000 3.802
Se 1.095 0.000 5.408
Se 5.591 0.000 5.726
Se 7.138 0.000 2.089
Se 11.634 0.000 2.408

=====

21.
20
Lattice="13.323 0.000 0.000 0.000 4.302 0.000 -4.267 0.000 12.813" Properties=species:S:1:pos:R:3 comment="Pa3TlTe6 (PBE-GGA, optimized geometry)" e_form_raw_mev_per_atom=-683 pbc="T T T"
Pa -0.262 1.075 1.542
Pa -0.328 1.075 9.916
Pa 2.695 3.226 5.852
Pa 6.361 1.075 6.961
Pa 9.384 3.226 2.897
Pa 9.318 3.226 11.271
Tl 4.707 3.226 1.575
Tl 4.349 1.075 11.237
Te -2.172 3.226 8.788
Te -2.021 1.075 12.492
Te 1.302 3.226 3.108
Te 0.878 1.075 7.065
Te 1.506 3.226 11.067
Te 4.484 1.075 4.540
Te 4.573 3.226 8.272
Te 7.550 1.075 1.746
Te 8.178 3.226 5.748
Te 7.755 1.075 9.705
Te 11.077 3.226 0.320
Te 11.229 1.075 4.024

=====

22.
4
Lattice="1.729 0.998 6.078 -1.729 0.998 6.078 0.000 -1.996 6.078" Properties=species:S:1:pos:R:3 comment="SrTcO2 (PBE-GGA, optimized geometry)" e_above_lowest_polymorph_mev_per_atom=442 e_form_raw_mev_per_atom=-990 pbc="T T T"
Sr 0.000 0.000 0.000
Tc 0.000 0.000 9.116
O 0.000 0.000 2.319
O 0.000 0.000 15.913

=====

23.
4
Lattice="2.970 0.000 0.000 0.000 2.970 0.000 0.000 0.000 6.150" Properties=species:S:1:pos:R:3 comment="Fe2RhW (PBE-GGA, optimized geometry)" e_form_kj_per_mol_atoms=9.1 e_above_lowest_polymorph_mev_per_atom=102 pbc="T T T"
Fe 0.000 0.000 1.527
Fe 0.000 0.000 4.623
Rh 1.485 1.485 0.000
W 1.485 1.485 3.075

=====

24.
4
Lattice="0.000 3.527 3.527 3.527 0.000 3.527 3.527 3.527 0.000" Properties=species:S:1:pos:R:3 comment="CaZrAgAu (PBE-GGA, optimized geometry)" e_form_kj_per_mol_atoms=-27.0 pbc="T T T"
Ca 0.000 0.000 0.000
Zr 3.527 3.527 3.527
Ag 1.763 1.763 1.763
Au 5.290 5.290 5.290